Compound: SrAl2H6C2O11
Source: the Alexandria database
Functional: PBE
Structure: optimized geometry

Geometry as extended XYZ:
```
88
Lattice="5.674 0.000 0.000 0.000 9.196 0.000 0.000 0.000 16.329" Properties=species:S:1:pos:R:3 pbc="T T T"
Sr 1.419 4.380 6.765
Sr 4.256 4.816 9.564
Sr 4.256 8.978 1.399
Sr 1.419 0.218 14.930
Al 2.847 1.579 4.817
Al 2.828 7.617 11.512
Al 2.828 6.177 3.347
Al 0.010 7.617 11.512
Al 2.847 3.019 12.982
Al 5.665 1.579 4.817
Al 5.665 3.019 12.982
Al 0.010 6.177 3.347
H 1.419 7.986 4.565
H 4.256 1.210 11.764
H 4.256 3.388 3.600
H 1.419 5.808 12.730
H 0.636 3.128 0.504
H 5.039 6.069 15.826
H 5.039 7.726 7.661
H 3.473 6.069 15.826
H 0.636 1.471 8.668
H 2.202 3.128 0.504
H 2.202 1.471 8.668
H 3.473 7.726 7.661
H 1.419 0.313 6.401
H 4.256 8.883 9.929
H 4.256 4.911 1.764
H 1.419 4.285 14.566
H 1.419 3.555 3.994
H 4.256 5.641 12.336
H 4.256 8.153 4.171
H 1.419 1.043 12.159
H 1.419 4.453 2.192
H 4.256 4.743 14.138
H 4.256 9.051 5.973
H 1.419 0.145 10.357
C 1.419 0.753 2.389
C 4.256 8.443 13.940
C 4.256 5.351 5.775
C 1.419 3.845 10.554
C 1.419 6.893 0.874
C 4.256 2.303 15.456
C 4.256 2.295 7.291
C 1.419 6.901 9.038
O 1.419 2.803 4.662
O 4.256 6.393 11.667
O 4.256 7.401 3.502
O 1.419 1.795 12.827
O 1.419 7.208 3.962
O 4.256 1.988 12.367
O 4.256 2.610 4.202
O 1.419 6.586 12.127
O 1.419 0.438 1.143
O 4.256 8.758 15.186
O 4.256 5.036 7.022
O 1.419 4.160 9.308
O 0.286 0.900 3.014
O 5.388 8.296 13.315
O 5.388 5.498 5.151
O 3.123 8.296 13.315
O 0.286 3.698 11.179
O 2.551 0.900 3.014
O 2.551 3.698 11.179
O 3.123 5.498 5.151
O 3.115 2.209 6.643
O 2.559 6.987 9.686
O 2.559 6.807 1.521
O 0.278 6.987 9.686
O 3.115 2.389 14.808
O 5.397 2.209 6.643
O 5.397 2.389 14.808
O 0.278 6.807 1.521
O 1.419 3.691 0.691
O 4.256 5.505 15.639
O 4.256 8.289 7.474
O 1.419 0.907 8.855
O 1.419 4.910 3.085
O 4.256 4.286 13.244
O 4.256 0.312 5.080
O 1.419 8.884 11.250
O 1.419 6.726 7.779
O 4.256 2.470 8.551
O 4.256 2.128 0.386
O 1.419 7.068 15.944
O 1.419 0.435 5.431
O 4.256 8.761 10.898
O 4.256 5.033 2.733
O 1.419 4.163 13.596
```

Computed properties:
The calculation puts the total magnetization at 0.05 μB/f.u. As for the uncorrected energy: -6.480 eV per atom. The density of states at the Fermi level comes out at 0.00 states/eV per cell.



Compound: Hf5AlC
Source: the Alexandria database
Functional: PBE
Structure: optimized geometry

Geometry as extended XYZ:
```
14
Lattice="5.828 0.505 -0.078 2.328 5.367 -0.078 2.861 2.060 8.907" Properties=species:S:1:pos:R:3 pbc="T T T"
Hf 7.567 4.051 1.024
Hf 3.993 4.253 4.758
Hf 7.673 6.921 5.478
Hf 6.408 1.208 2.149
Hf 7.148 6.525 8.446
Hf 3.869 1.407 0.305
Hf 4.610 6.724 6.602
Hf 3.345 1.011 3.273
Hf 7.025 3.679 3.993
Hf 3.450 3.881 7.727
Al 4.700 3.582 2.149
Al 6.318 4.350 6.602
C 0.000 0.000 0.000
C 1.431 1.030 4.453
```

Computed properties:
The calculation puts the total magnetization at 0.00 μB/f.u. As for the uncorrected energy: -9.187 eV per atom. For the energy relative to the elements, the calculation gives -225.5 meV/atom. The density of states at the Fermi level comes out at 10.96 states/eV per cell.



Compound: Hf8Al2C3
Source: the Alexandria database
Functional: PBE
Structure: optimized geometry

Geometry as extended XYZ:
```
13
Lattice="-1.625 0.256 5.600 6.245 -0.789 1.848 -1.789 6.790 -2.700" Properties=species:S:1:pos:R:3 pbc="T T T"
Hf 1.889 1.098 5.731
Hf 0.943 5.159 -0.983
Hf -1.197 1.463 4.672
Hf 4.029 4.794 0.076
Hf 1.661 5.223 2.452
Hf -1.468 5.619 1.526
Hf 4.299 0.638 3.222
Hf 1.171 1.034 2.296
Al 0.110 3.303 1.038
Al 2.721 2.954 3.710
C -0.812 0.128 2.800
C 1.516 -0.192 0.448
C 4.729 -0.597 1.399
```

Computed properties:
The calculation puts the total magnetization at 0.00 μB/f.u. As for the uncorrected energy: -9.108 eV per atom. For the energy relative to the elements, the calculation gives -278.6 meV/atom. The density of states at the Fermi level comes out at 5.91 states/eV per cell.



Compound: Hf2Al3C4
Source: the Alexandria database
Functional: PBE
Structure: optimized geometry

Geometry as extended XYZ:
```
18
Lattice="3.336 0.000 0.000 -1.668 2.889 0.000 0.000 0.000 22.166" Properties=species:S:1:pos:R:3 pbc="T T T"
Hf 1.668 0.963 1.277
Hf 0.000 1.926 20.889
Hf 0.000 1.926 12.360
Hf 1.668 0.963 9.806
Al 0.000 0.000 3.513
Al 0.000 0.000 7.570
Al 0.000 0.000 18.653
Al 0.000 0.000 14.596
Al 1.668 0.963 16.625
Al 0.000 1.926 5.542
C 1.668 0.963 13.893
C 0.000 1.926 8.273
C 0.000 0.000 5.542
C 0.000 1.926 2.810
C 0.000 0.000 0.000
C 1.668 0.963 19.356
C 0.000 0.000 11.083
C 0.000 0.000 16.625
```

Computed properties:
The calculation puts the total magnetization at 0.00 μB/f.u. As for the uncorrected energy: -8.054 eV per atom. For the energy relative to the elements, the calculation gives -495.5 meV/atom. The density of states at the Fermi level comes out at 2.14 states/eV per cell.



Compound: Hf7Al2C2
Source: the Alexandria database
Functional: PBE
Structure: optimized geometry

Geometry as extended XYZ:
```
11
Lattice="5.903 -0.002 -0.745 0.002 5.933 0.003 -1.112 -0.002 5.845" Properties=species:S:1:pos:R:3 pbc="T T T"
Hf 5.347 1.440 2.178
Hf 1.841 4.487 5.474
Hf -0.554 4.489 2.925
Hf 2.952 1.442 -0.372
Hf 0.000 0.000 0.000
Hf 2.397 4.520 2.552
Hf 2.396 1.409 2.551
Al 3.954 2.963 4.209
Al 0.839 2.966 0.894
C 4.032 5.931 1.017
C 0.761 -0.002 4.085
```

Computed properties:
The calculation puts the total magnetization at 0.00 μB/f.u. As for the uncorrected energy: -8.835 eV per atom. For the energy relative to the elements, the calculation gives -143.2 meV/atom. The density of states at the Fermi level comes out at 7.01 states/eV per cell.



Compound: Hf4Al2C
Source: the Alexandria database
Functional: PBE
Structure: optimized geometry

Geometry as extended XYZ:
```
7
Lattice="-1.806 -1.442 2.050 4.847 -3.047 2.129 -4.960 8.801 1.819" Properties=species:S:1:pos:R:3 pbc="T T T"
Hf -0.659 4.173 4.682
Hf -1.384 4.078 1.648
Hf -1.460 0.969 1.723
Hf 1.020 2.426 2.605
Al -3.228 5.661 3.464
Al 0.998 -0.554 2.818
C 0.702 0.507 0.975
```

Computed properties:
The calculation puts the total magnetization at 0.00 μB/f.u. As for the uncorrected energy: -8.164 eV per atom. For the energy relative to the elements, the calculation gives -89.1 meV/atom. The density of states at the Fermi level comes out at 5.29 states/eV per cell.



Compound: Hf6Al2C
Source: the Alexandria database
Functional: PBE
Structure: optimized geometry

Geometry as extended XYZ:
```
18
Lattice="-3.510 -2.900 4.294 5.171 -2.262 2.700 0.423 7.123 5.156" Properties=species:S:1:pos:R:3 pbc="T T T"
Hf 5.266 -0.515 3.958
Hf 1.449 -0.298 7.792
Hf 1.672 3.225 10.423
Hf -1.095 0.833 6.470
Hf -1.373 -2.734 3.905
Hf 0.930 -0.758 4.808
Hf -3.182 2.477 8.192
Hf 0.636 2.259 4.358
Hf 0.412 -1.263 1.727
Hf 3.180 1.129 5.679
Hf 3.457 4.696 8.245
Hf 1.154 2.720 7.341
Al 2.908 4.209 5.220
Al -1.432 3.891 6.016
Al 3.517 -1.929 6.133
Al -0.823 -2.247 6.930
C 0.831 -2.581 3.497
C 0.212 3.562 2.578
```

Computed properties:
The calculation puts the total magnetization at 0.00 μB/f.u. As for the uncorrected energy: -8.828 eV per atom. For the energy relative to the elements, the calculation gives -336.1 meV/atom. The density of states at the Fermi level comes out at 28.26 states/eV per cell.



Compound: HfSc2AlC
Source: the Alexandria database
Functional: PBE
Structure: optimized geometry

Geometry as extended XYZ:
```
5
Lattice="-4.455 0.451 0.053 -0.407 -4.201 1.496 0.201 1.489 4.238" Properties=species:S:1:pos:R:3 pbc="T T T"
Sc -0.204 -2.100 0.748
Sc -2.227 0.225 0.027
C 0.000 0.000 0.000
Hf 0.101 0.745 2.119
Al -2.330 -1.131 2.893
```

Computed properties:
The calculation puts the total magnetization at 0.00 μB/f.u. As for the uncorrected energy: -7.693 eV per atom. For the energy relative to the elements, the calculation gives -576.4 meV/atom. The density of states at the Fermi level comes out at 1.93 states/eV per cell.



Compound: Hf2ScAlC
Source: the Alexandria database
Functional: PBE
Structure: optimized geometry

Geometry as extended XYZ:
```
5
Lattice="-0.454 -0.993 4.339 4.411 0.483 0.572 -0.593 4.321 0.927" Properties=species:S:1:pos:R:3 pbc="T T T"
Sc -0.297 2.160 0.463
C 0.000 0.000 0.000
Hf 2.205 0.242 0.286
Hf -0.227 -0.496 2.169
Al 1.682 1.906 2.919
```

Computed properties:
The calculation puts the total magnetization at 0.00 μB/f.u. As for the uncorrected energy: -8.383 eV per atom. For the energy relative to the elements, the calculation gives -542.3 meV/atom. The density of states at the Fermi level comes out at 1.97 states/eV per cell.



Compound: Y2HfAlC
Source: the Alexandria database
Functional: PBE
Structure: optimized geometry

Geometry as extended XYZ:
```
5
Lattice="4.856 0.000 0.000 0.000 4.856 0.000 0.000 0.000 4.523" Properties=species:S:1:pos:R:3 pbc="T T T"
Y 0.000 2.428 0.000
Y 2.428 0.000 0.000
C 0.000 0.000 0.000
Hf 0.000 0.000 2.261
Al 2.428 2.428 2.261
```

Computed properties:
The calculation puts the total magnetization at 0.00 μB/f.u. As for the uncorrected energy: -7.572 eV per atom. For the energy relative to the elements, the calculation gives -402.0 meV/atom. The density of states at the Fermi level comes out at 2.23 states/eV per cell.



Compound: Hf2ZrAlC
Source: the Alexandria database
Functional: PBE
Structure: optimized geometry

Geometry as extended XYZ:
```
5
Lattice="4.454 0.000 0.000 0.000 4.454 0.000 0.000 0.000 4.557" Properties=species:S:1:pos:R:3 pbc="T T T"
C 0.000 0.000 0.000
Hf 0.000 2.227 0.000
Hf 2.227 0.000 0.000
Al 2.227 2.227 2.278
Zr 0.000 0.000 2.278
```

Computed properties:
The calculation puts the total magnetization at 0.00 μB/f.u. As for the uncorrected energy: -8.784 eV per atom. For the energy relative to the elements, the calculation gives -500.1 meV/atom. The density of states at the Fermi level comes out at 2.01 states/eV per cell.



Compound: HfZr2AlC
Source: the Alexandria database
Functional: PBE
Structure: optimized geometry

Geometry as extended XYZ:
```
5
Lattice="4.543 0.000 0.000 0.000 4.543 0.000 0.000 0.000 4.450" Properties=species:S:1:pos:R:3 pbc="T T T"
C 0.000 0.000 0.000
Hf 0.000 0.000 2.225
Al 2.271 2.271 2.225
Zr 0.000 2.271 0.000
Zr 2.271 0.000 0.000
```

Computed properties:
The calculation puts the total magnetization at 0.00 μB/f.u. As for the uncorrected energy: -8.511 eV per atom. For the energy relative to the elements, the calculation gives -507.3 meV/atom. The density of states at the Fermi level comes out at 2.02 states/eV per cell.



- Among the records above, which one has the highest uncorrected energy?
  SrAl2H6C2O11